PBE-GGA Ba2YBr, relaxed; ΔE_f (raw) = -0.2880 eV per atom; offset from the most stable computed form = 305 meV/atom; final energy = -3.2836 eV per atom; calculated volume = 47.08 Å³/atom; calculated density = 3.9 g/cm3
1.0
7.493 -0.107 -0.005
2.871 6.922 0.005
-3.993 -5.216 3.607
Ba Br Y
2 1 1
Direct
0.543 0.543 0.000
0.957 0.957 0.000
0.750 0.250 0.500
0.250 0.750 0.500